Entry 1:
Entry from Alexandria via LeMat-Bulk: TcPd2Pt2 after structural relaxation (PBE).

Lattice parameters (Å, degrees): 7.606 7.606 2.798 90.00 90.00 90.00
Each line ends with the local moment (μB).
Positions (direct):
Tc 0.500 0.500 0.000  1.38
Tc 0.000 0.000 0.000  1.36
Pt 0.327 0.173 0.500  0.20
Pt 0.673 0.827 0.500  0.20
Pt 0.827 0.327 0.500  0.22
Pt 0.173 0.673 0.500  0.22
Pd 0.874 0.626 0.000  0.15
Pd 0.626 0.126 0.000  0.17
Pd 0.374 0.874 0.000  0.17
Pd 0.126 0.374 0.000  0.15

Output
The energy above the most stable polymorph in this dataset is 560 meV/atom. The calculated formation energy comes out at 419 meV per atom. For the calculated density, the calculation gives 14.38 g/cm³.

***

Entry 2:
Entry from Alexandria via LeMat-Bulk: Rb4NpS2ClO10 after structural relaxation (PBE).

Lattice parameters (Å, degrees): 4.658 10.753 15.053 77.17 90.00 90.00
Each line ends with the local moment (μB).
Positions (direct):
O 0.262 0.337 0.501  0.00
O 0.745 0.605 0.057  0.00
O 0.666 0.230 0.589  -0.01
O 0.334 0.730 0.089  -0.01
O 0.728 0.427 0.715  -0.08
O 0.227 0.253 0.834  -0.01
O 0.262 0.163 0.999  0.00
O 0.334 0.770 0.411  -0.01
O 0.738 0.663 0.499  0.00
O 0.272 0.573 0.285  -0.08
O 0.728 0.073 0.785  -0.08
O 0.227 0.247 0.666  -0.01
O 0.666 0.270 0.911  -0.01
O 0.773 0.747 0.166  -0.01
O 0.255 0.395 0.943  0.00
O 0.773 0.753 0.334  -0.01
O 0.255 0.105 0.557  0.00
O 0.272 0.927 0.215  -0.08
O 0.745 0.895 0.443  0.00
O 0.738 0.837 0.001  0.00
Rb 0.229 0.941 0.894  0.00
Rb 0.770 0.939 0.630  0.00
Rb 0.230 0.439 0.130  0.00
Rb 0.230 0.061 0.370  0.00
Rb 0.771 0.441 0.394  0.00
Rb 0.770 0.561 0.870  0.00
Rb 0.771 0.059 0.106  0.00
Rb 0.229 0.559 0.606  0.00
Cl 0.265 0.750 0.750  0.00
Cl 0.735 0.250 0.250  0.00
S 0.655 0.771 0.425  0.00
S 0.345 0.271 0.925  0.00
S 0.345 0.229 0.575  0.00
S 0.655 0.729 0.075  0.00
Np 0.272 0.750 0.250  2.16
Np 0.728 0.250 0.750  2.16

Output
For the calculated density, the calculation gives 3.79 g/cm³. As for the formation energy without anion corrections: -2.0427 eV/atom.

***

Entry 3:
Entry from Alexandria via LeMat-Bulk: KP3Ir3 after structural relaxation (PBE).

Lattice parameters (Å, degrees): 6.691 6.691 8.811 67.69 67.69 60.00
Positions (direct):
Ir 0.791 0.127 0.616
Ir 0.873 0.534 0.384
Ir 0.209 0.873 0.384
Ir 0.534 0.209 0.384
Ir 0.127 0.466 0.616
Ir 0.466 0.791 0.616
K 0.667 0.667 0.000
K 0.333 0.333 0.000
P 0.106 0.777 0.686
P 0.431 0.106 0.686
P 0.777 0.431 0.686
P 0.223 0.569 0.314
P 0.569 0.894 0.314
P 0.894 0.223 0.314

Output
The calculated formation energy comes out at -442 meV per atom. For the calculated density, the calculation gives 7.67 g/cm³.

***

Entry 4:
Entry from Alexandria via LeMat-Bulk: Rb2HfIn2 after structural relaxation (PBE).

Lattice parameters (Å, degrees): 10.668 10.668 3.140 90.00 90.00 90.00
Positions (direct):
In 0.328 0.172 0.500
In 0.828 0.328 0.500
In 0.172 0.672 0.500
In 0.672 0.828 0.500
Rb 0.628 0.128 0.000
Rb 0.872 0.628 0.000
Rb 0.372 0.872 0.000
Rb 0.128 0.372 0.000
Hf 0.500 0.500 0.000
Hf 0.000 0.000 0.000

Output
The energy above the most stable polymorph in this dataset is 10 meV/atom. The calculated formation energy comes out at 801 meV per atom. For the calculated density, the calculation gives 5.38 g/cm³.

***

Entry 5:
Entry from Alexandria via LeMat-Bulk: TbErSc4 after structural relaxation (PBE).

Lattice parameters (Å, degrees): 8.421 5.295 9.758 90.00 105.12 128.98
Positions (direct):
Tb 0.624 0.374 0.749
Tb 0.376 0.626 0.251
Sc 0.041 0.791 0.083
Sc 0.959 0.209 0.917
Sc 0.458 0.708 0.917
Sc 0.710 0.461 0.417
Sc 0.794 0.045 0.583
Sc 0.206 0.955 0.417
Sc 0.542 0.292 0.083
Sc 0.290 0.539 0.583
Er 0.126 0.876 0.751
Er 0.874 0.124 0.249

Output
The energy above the most stable polymorph in this dataset is 26 meV/atom. The calculated formation energy comes out at 60 meV per atom. For the calculated density, the calculation gives 5.27 g/cm³.

***

Entry 6:
Entry from Alexandria via LeMat-Bulk: Sm5PSe4 after structural relaxation (PBE).

Lattice parameters (Å, degrees): 4.150 4.150 15.098 97.90 97.90 90.00
Positions (direct):
P 0.000 0.000 0.000
Sm 0.704 0.704 0.407
Sm 0.296 0.296 0.593
Sm 0.500 0.500 0.000
Sm 0.906 0.906 0.812
Sm 0.094 0.094 0.188
Se 0.803 0.803 0.607
Se 0.601 0.601 0.203
Se 0.399 0.399 0.797
Se 0.197 0.197 0.393

Output
For the calculated density, the calculation gives 7.15 g/cm³. As for the formation energy without anion corrections: -1.8013 eV/atom.

***

Entry 7:
Entry from Alexandria via LeMat-Bulk: Er5Pt2 after structural relaxation (PBE).

Lattice parameters (Å, degrees): 6.540 7.011 8.705 96.12 112.07 90.00
Positions (direct):
Pt 0.822 0.570 0.222
Pt 0.178 0.430 0.778
Pt 0.400 0.070 0.222
Pt 0.600 0.930 0.778
Er 0.022 0.073 0.811
Er 0.786 0.310 0.441
Er 0.437 0.750 0.000
Er 0.563 0.250 0.000
Er 0.345 0.190 0.559
Er 0.978 0.927 0.189
Er 0.655 0.810 0.441
Er 0.210 0.427 0.189
Er 0.214 0.690 0.559
Er 0.790 0.573 0.811

Output
The calculated formation energy comes out at -840 meV per atom. For the calculated density, the calculation gives 11.08 g/cm³.

***

Entry 8:
Entry from Alexandria via LeMat-Bulk: NiAg2Br after structural relaxation (PBE).

Lattice parameters (Å, degrees): 3.343 3.343 6.608 90.00 90.00 90.00
Each line ends with the local moment (μB).
Positions (direct):
Ag 0.500 0.500 0.211  0.00
Ag 0.000 0.000 0.975  0.00
Br 0.000 0.000 0.543  0.06
Ni 0.500 0.500 0.770  0.60

Output
The energy above the most stable polymorph in this dataset is 112 meV/atom. For the calculated density, the calculation gives 7.97 g/cm³. As for the formation energy without anion corrections: 0.2734 eV/atom.